No. 1
This record from Alexandria describes crystalline BeAsCl at its relaxed geometry. The functional is GGA-PBE.

Unit cell a=6.020 b=6.020 c=6.020 alpha=90.00 beta=90.00 gamma=90.00
Space group F-43m (No. 216)
Symmetry-distinct sites (fractional):
1 Be 0.000 0.000 0.000 (multiplicity 4)
2 As 0.250 0.250 0.250 (multiplicity 4)
3 Cl 0.250 0.250 0.750 (multiplicity 4)

Results
E above lowest polymorph (eV/atom): 0.926

No. 2
This record from Alexandria describes crystalline Ho2Tl3CrSe6 at its relaxed geometry. The functional is GGA-PBE.

Unit cell a=7.005 b=12.124 c=8.081 alpha=90.00 beta=106.77 gamma=90.00
Space group C2/m (No. 12)
Symmetry-distinct sites (fractional):
1 Ho 0.000 0.166 0.000 (multiplicity 4)
2 Tl 0.000 0.000 0.500 (multiplicity 2)
3 Tl 0.000 0.324 0.500 (multiplicity 4)
4 Cr 0.000 0.500 0.000 (multiplicity 2)
5 Se 0.218 0.346 0.193 (multiplicity 8)
6 Se 0.241 0.500 0.798 (multiplicity 4)

Number 1: uncorrected formation energy 1.803 eV per formula unit, total magnetization 0.00 μB per cell, DOS at the Fermi energy 10.0 states/eV/cell. Number 2: uncorrected formation energy -12.537 eV per formula unit, total magnetization 6.01 μB per cell, DOS at the Fermi energy 0.5 states/eV/cell.